# HfTiPt3, relaxed, DFT PBE-GGA
data_HfTiPt3
_space_group_name_H-M_alt 'P m -3 m'
_space_group_IT_number 221
_space_group_name_Hall '-P 4 2 3'
_cell_length_a 4.655
_cell_length_b 4.655
_cell_length_c 4.655
_cell_angle_alpha 90.00
_cell_angle_beta 90.00
_cell_angle_gamma 90.00
loop_
_atom_site_label
_atom_site_fract_x
_atom_site_fract_y
_atom_site_fract_z
Hf1 0.000 0.000 0.000
Ti1 0.500 0.500 0.500
Pt1 0.000 0.500 0.500
# Crystal system ... cubic
# Calculated volume ... 20.18 Å³ per atom
# Formation energy ... 141 meV/atom
# DOS(E_F) ... 4.2 states/eV/cell
# Magnetization ... 0.00 μB per formula unit
# Distance to the lowest polymorph of the same formula ... 0.786 eV per atom
# Theoretical density ... 13.4 g/cm³



# Pr6TeAs5, relaxed, DFT PBE-GGA
data_Pr6TeAs5
_space_group_name_H-M_alt 'C 1 2/m 1'
_space_group_IT_number 12
_space_group_name_Hall '-C 2y'
_cell_length_a 7.540
_cell_length_b 13.035
_cell_length_c 7.526
_cell_angle_alpha 90.00
_cell_angle_beta 109.52
_cell_angle_gamma 90.00
loop_
_atom_site_label
_atom_site_fract_x
_atom_site_fract_y
_atom_site_fract_z
Pr1 0.239 0.000 0.257
Pr2 0.241 0.173 0.743
Te1 0.000 0.500 0.000
As1 0.000 0.000 0.500
As2 0.000 0.167 0.000
As3 0.000 0.337 0.500
# Crystal system ... monoclinic
# Calculated volume ... 29.05 Å³ per atom
# Formation energy (no corrections) ... -18.29 eV/f.u.
# DOS(E_F) ... 6.6 states/eV/cell
# Magnetization ... 0.00 μB per formula unit
# Theoretical density ... 6.4 g/cm³



# PmGaS3, relaxed, DFT PBE-GGA
data_PmGaS3
_space_group_name_H-M_alt 'C 1 2/m 1'
_space_group_IT_number 12
_space_group_name_Hall '-C 2y'
_cell_length_a 12.340
_cell_length_b 8.731
_cell_length_c 4.191
_cell_angle_alpha 90.00
_cell_angle_beta 91.01
_cell_angle_gamma 90.00
loop_
_atom_site_label
_atom_site_fract_x
_atom_site_fract_y
_atom_site_fract_z
Pm1 0.235 0.000 0.255
Ga1 0.000 0.310 0.500
S1 0.102 0.500 0.246
S2 0.143 0.196 0.749
# Crystal system ... monoclinic
# Calculated volume ... 22.58 Å³ per atom
# Formation energy (no corrections) ... -6.57 eV/f.u.
# DOS(E_F) ... 0.0 states/eV/cell
# Magnetization ... 0.00 μB per formula unit
# Theoretical density ... 4.6 g/cm³



# AcPmGdEr, relaxed, DFT PBE-GGA
data_AcPmGdEr
_space_group_name_H-M_alt 'F -4 3 m'
_space_group_IT_number 216
_space_group_name_Hall 'F -4 2 3'
_cell_length_a 8.286
_cell_length_b 8.286
_cell_length_c 8.286
_cell_angle_alpha 90.00
_cell_angle_beta 90.00
_cell_angle_gamma 90.00
loop_
_atom_site_label
_atom_site_fract_x
_atom_site_fract_y
_atom_site_fract_z
Ac1 0.000 0.000 0.000
Pm1 0.000 0.000 0.500
Gd1 0.250 0.250 0.750
Er1 0.250 0.250 0.250
# Crystal system ... cubic
# Calculated volume ... 35.55 Å³ per atom
# Formation energy ... 111 meV/atom
# DOS(E_F) ... 30.1 states/eV/cell
# Magnetization ... 7.91 μB per formula unit
# Theoretical density ... 8.1 g/cm³



# Ga2BMoOs, relaxed, DFT PBE-GGA
data_Ga2BMoOs
_space_group_name_H-M_alt 'P 4/m m m'
_space_group_IT_number 123
_space_group_name_Hall '-P 4 2'
_cell_length_a 4.937
_cell_length_b 4.937
_cell_length_c 4.674
_cell_angle_alpha 90.00
_cell_angle_beta 90.00
_cell_angle_gamma 90.00
loop_
_atom_site_label
_atom_site_fract_x
_atom_site_fract_y
_atom_site_fract_z
Ga1 0.000 0.500 0.000
B1 0.000 0.000 0.500
Mo1 0.500 0.500 0.000
Os1 0.500 0.500 0.500
# Crystal system ... tetragonal
# Calculated volume ... 22.79 Å³ per atom
# Formation energy ... 1928 meV/atom
# DOS(E_F) ... 5.1 states/eV/cell
# Magnetization ... 1.00 μB per formula unit
# Theoretical density ... 6.4 g/cm³



# YSb2Pd7, relaxed, DFT PBE-GGA
data_YSb2Pd7
_space_group_name_H-M_alt 'I 4/m m m'
_space_group_IT_number 139
_space_group_name_Hall '-I 4 2'
_cell_length_a 4.148
_cell_length_b 4.148
_cell_length_c 22.012
_cell_angle_alpha 90.00
_cell_angle_beta 90.00
_cell_angle_gamma 90.00
loop_
_atom_site_label
_atom_site_fract_x
_atom_site_fract_y
_atom_site_fract_z
Y1 0.000 0.000 0.000
Sb1 0.000 0.000 0.329
Pd1 0.000 0.000 0.500
Pd2 0.000 0.500 0.094
Pd3 0.000 0.500 0.250
# Crystal system ... tetragonal
# Calculated volume ... 18.94 Å³ per atom
# Formation energy (no corrections) ... -5.84 eV/f.u.
# DOS(E_F) ... 9.2 states/eV/cell
# Magnetization ... 0.00 μB per formula unit
# Distance to the lowest polymorph of the same formula ... 0.000 eV per atom
# Theoretical density ... 9.4 g/cm³



# MgTaSi2, relaxed, DFT PBE-GGA
data_MgTaSi2
_space_group_name_H-M_alt 'A m m 2'
_space_group_IT_number 38
_space_group_name_Hall 'A 2 -2'
_cell_length_a 4.467
_cell_length_b 2.863
_cell_length_c 10.025
_cell_angle_alpha 90.00
_cell_angle_beta 90.00
_cell_angle_gamma 90.00
loop_
_atom_site_label
_atom_site_fract_x
_atom_site_fract_y
_atom_site_fract_z
Mg1 0.000 0.000 0.000
Ta1 0.500 0.000 0.322
Si1 0.000 0.000 0.742
Si2 0.500 0.000 0.591
# Crystal system ... orthorhombic
# Calculated volume ... 16.03 Å³ per atom
# Formation energy (no corrections) ... -0.19 eV/f.u.
# DOS(E_F) ... 3.2 states/eV/cell
# Magnetization ... 0.00 μB per formula unit
# Theoretical density ... 6.8 g/cm³



# Sm6Zn3O, relaxed, DFT PBE-GGA
data_Sm6Zn3O
_space_group_name_H-M_alt 'P 1 21/c 1'
_space_group_IT_number 14
_space_group_name_Hall '-P 2ybc'
_cell_length_a 6.587
_cell_length_b 7.918
_cell_length_c 11.151
_cell_angle_alpha 90.00
_cell_angle_beta 118.90
_cell_angle_gamma 90.00
loop_
_atom_site_label
_atom_site_fract_x
_atom_site_fract_y
_atom_site_fract_z
Sm1 0.076 0.050 0.235
Sm2 0.189 0.714 0.066
Sm3 0.379 0.152 0.054
Zn1 0.322 0.117 0.745
Zn2 0.500 0.000 0.500
O1 0.000 0.000 0.000
# Crystal system ... monoclinic
# Calculated volume ... 25.46 Å³ per atom
# Formation energy (no corrections) ... -6.49 eV/f.u.
# DOS(E_F) ... 23.3 states/eV/cell
# Magnetization ... 0.00 μB per formula unit
# Theoretical density ... 7.3 g/cm³



# Mn2AsRh, relaxed, DFT PBE-GGA
data_Mn2AsRh
_space_group_name_H-M_alt 'F -4 3 m'
_space_group_IT_number 216
_space_group_name_Hall 'F -4 2 3'
_cell_length_a 5.944
_cell_length_b 5.944
_cell_length_c 5.944
_cell_angle_alpha 90.00
_cell_angle_beta 90.00
_cell_angle_gamma 90.00
loop_
_atom_site_label
_atom_site_fract_x
_atom_site_fract_y
_atom_site_fract_z
Mn1 0.000 0.000 0.000
Mn2 0.250 0.250 0.250
As1 0.250 0.250 0.750
Rh1 0.000 0.000 0.500
# Crystal system ... cubic
# Calculated volume ... 13.12 Å³ per atom
# Formation energy ... -85 meV/atom
# DOS(E_F) ... 11.8 states/eV/cell
# Magnetization ... 4.01 μB per formula unit
# Theoretical density ... 9.1 g/cm³



# La4Pr6Tl, relaxed, DFT PBE-GGA
data_La4Pr6Tl
_space_group_name_H-M_alt 'P 1'
_space_group_IT_number 1
_space_group_name_Hall 'P 1'
_cell_length_a 3.749
_cell_length_b 10.277
_cell_length_c 11.764
_cell_angle_alpha 115.78
_cell_angle_beta 99.05
_cell_angle_gamma 90.04
loop_
_atom_site_label
_atom_site_fract_x
_atom_site_fract_y
_atom_site_fract_z
La1 0.000 0.000 0.000
La2 0.012 0.393 0.001
La3 0.211 0.906 0.417
La4 0.270 0.464 0.532
Pr1 0.393 0.087 0.780
Pr2 0.553 0.744 0.095
Pr3 0.645 0.152 0.289
Pr4 0.652 0.535 0.290
Pr5 0.815 0.779 0.632
Pr6 0.817 0.248 0.632
Tl1 0.919 0.609 0.825
# Crystal system ... triclinic
# Calculated volume ... 36.53 Å³ per atom
# Formation energy ... 58 meV/atom
# DOS(E_F) ... 15.4 states/eV/cell
# Magnetization ... 0.00 μB per formula unit
# Theoretical density ... 6.6 g/cm³



# TlCo2Pb, relaxed, DFT PBE-GGA
data_TlCo2Pb
_space_group_name_H-M_alt 'F -4 3 m'
_space_group_IT_number 216
_space_group_name_Hall 'F -4 2 3'
_cell_length_a 6.755
_cell_length_b 6.755
_cell_length_c 6.755
_cell_angle_alpha 90.00
_cell_angle_beta 90.00
_cell_angle_gamma 90.00
loop_
_atom_site_label
_atom_site_fract_x
_atom_site_fract_y
_atom_site_fract_z
Tl1 0.000 0.000 0.000
Co1 0.000 0.000 0.500
Co2 0.250 0.250 0.250
Pb1 0.250 0.250 0.750
# Crystal system ... cubic
# Calculated volume ... 19.26 Å³ per atom
# Formation energy ... 887 meV/atom
# DOS(E_F) ... 30.0 states/eV/cell
# Magnetization ... 2.76 μB per formula unit
# Theoretical density ... 11.4 g/cm³



# SrTe2MoN, relaxed, DFT PBE-GGA
data_SrTe2MoN
_space_group_name_H-M_alt 'P 4/m m m'
_space_group_IT_number 123
_space_group_name_Hall '-P 4 2'
_cell_length_a 6.152
_cell_length_b 6.152
_cell_length_c 4.679
_cell_angle_alpha 90.00
_cell_angle_beta 90.00
_cell_angle_gamma 90.00
loop_
_atom_site_label
_atom_site_fract_x
_atom_site_fract_y
_atom_site_fract_z
Sr1 0.000 0.000 0.000
Te1 0.000 0.500 0.000
Mo1 0.500 0.500 0.500
N1 0.000 0.000 0.500
# Crystal system ... tetragonal
# Calculated volume ... 35.43 Å³ per atom
# Formation energy (no corrections) ... 6.94 eV/f.u.
# DOS(E_F) ... 2.7 states/eV/cell
# Magnetization ... 5.81 μB per formula unit
# Distance to the lowest polymorph of the same formula ... 1.815 eV per atom
# Theoretical density ... 4.2 g/cm³



# AgWAu, relaxed, DFT PBE-GGA
data_AgWAu
_space_group_name_H-M_alt 'F -4 3 m'
_space_group_IT_number 216
_space_group_name_Hall 'F -4 2 3'
_cell_length_a 6.169
_cell_length_b 6.169
_cell_length_c 6.169
_cell_angle_alpha 90.00
_cell_angle_beta 90.00
_cell_angle_gamma 90.00
loop_
_atom_site_label
_atom_site_fract_x
_atom_site_fract_y
_atom_site_fract_z
Ag1 0.000 0.000 0.000
W1 0.000 0.000 0.500
Au1 0.250 0.250 0.250
# Crystal system ... cubic
# Calculated volume ... 19.56 Å³ per atom
# Formation energy ... 1029 meV/atom
# DOS(E_F) ... 0.7 states/eV/cell
# Magnetization ... 0.00 μB per formula unit
# Distance to the lowest polymorph of the same formula ... 0.628 eV per atom
# Theoretical density ... 13.8 g/cm³



# NdBr4, relaxed, DFT PBE-GGA
data_NdBr4
_space_group_name_H-M_alt 'P m -3 m'
_space_group_IT_number 221
_space_group_name_Hall '-P 4 2 3'
_cell_length_a 5.785
_cell_length_b 5.785
_cell_length_c 5.785
_cell_angle_alpha 90.00
_cell_angle_beta 90.00
_cell_angle_gamma 90.00
loop_
_atom_site_label
_atom_site_fract_x
_atom_site_fract_y
_atom_site_fract_z
Nd1 0.000 0.000 0.000
Br1 0.000 0.000 0.500
Br2 0.500 0.500 0.500
# Crystal system ... cubic
# Calculated volume ... 38.72 Å³ per atom
# Formation energy (no corrections) ... -5.92 eV/f.u.
# DOS(E_F) ... 8.1 states/eV/cell
# Magnetization ... 1.01 μB per formula unit
# Theoretical density ... 4.0 g/cm³



# Nd3Ge, relaxed, DFT PBE-GGA
data_Nd3Ge
_space_group_name_H-M_alt 'I m m m'
_space_group_IT_number 71
_space_group_name_Hall '-I 2 2'
_cell_length_a 4.054
_cell_length_b 5.186
_cell_length_c 11.470
_cell_angle_alpha 90.00
_cell_angle_beta 90.00
_cell_angle_gamma 90.00
loop_
_atom_site_label
_atom_site_fract_x
_atom_site_fract_y
_atom_site_fract_z
Nd1 0.000 0.000 0.000
Nd2 0.000 0.500 0.204
Ge1 0.000 0.000 0.500
# Crystal system ... orthorhombic
# Calculated volume ... 30.14 Å³ per atom
# Formation energy ... -341 meV/atom
# DOS(E_F) ... 9.3 states/eV/cell
# Magnetization ... 0.00 μB per formula unit
# Distance to the lowest polymorph of the same formula ... 0.109 eV per atom
# Theoretical density ... 7.0 g/cm³



# SrCa2As2, relaxed, DFT PBE-GGA
data_SrCa2As2
_space_group_name_H-M_alt 'P -3 m 1'
_space_group_IT_number 164
_space_group_name_Hall '-P 3 2"'
_cell_length_a 4.8463
_cell_length_b 4.8463
_cell_length_c 7.6200
_cell_angle_alpha 90.00
_cell_angle_beta 90.00
_cell_angle_gamma 120.00
loop_
_atom_site_label
_atom_site_fract_x
_atom_site_fract_y
_atom_site_fract_z
Sr1 0.0000 0.0000 0.0000
Ca1 0.3333 0.6667 0.3519
As1 0.3333 0.6667 0.7580
# Crystal system ... trigonal
# Calculated volume ... 31.00 Å³ per atom
# Formation energy ... -1181 meV/atom
# DOS(E_F) ... 0.0 states/eV/cell
# Magnetization ... 0.00 μB per formula unit
# Distance to the lowest polymorph of the same formula ... 0.000 eV per atom
# Theoretical density ... 3.4 g/cm³



# RbPdPt2, relaxed, DFT PBE-GGA
data_RbPdPt2
_space_group_name_H-M_alt 'I -4 2 d'
_space_group_IT_number 122
_space_group_name_Hall 'I -4 2bw'
_cell_length_a 4.996
_cell_length_b 4.996
_cell_length_c 17.938
_cell_angle_alpha 90.00
_cell_angle_beta 90.00
_cell_angle_gamma 90.00
loop_
_atom_site_label
_atom_site_fract_x
_atom_site_fract_y
_atom_site_fract_z
Rb1 0.000 0.000 0.000
Pd1 0.000 0.000 0.500
Pt1 0.058 0.250 0.625
# Crystal system ... tetragonal
# Calculated volume ... 27.99 Å³ per atom
# Formation energy ... 291 meV/atom
# DOS(E_F) ... 11.2 states/eV/cell
# Magnetization ... 0.00 μB per formula unit
# Distance to the lowest polymorph of the same formula ... 0.000 eV per atom
# Theoretical density ... 8.6 g/cm³